(1)
Ce4TcHg3 after structural relaxation. Source: Alexandria, functional PBE.

POSCAR file:
```
Ce4TcHg3
1.0
3.375 0.000 0.000
0.000 3.375 0.000
0.000 0.000 17.568
Ce Tc Hg
4 1 3
Cartesian
0.000 0.000 1.741
0.000 0.000 6.482
0.000 0.000 11.086
0.000 0.000 15.828
1.688 1.688 0.000
1.688 1.688 4.183
1.688 1.688 8.784
1.688 1.688 13.385
```

Results
Its space group is P4/mmm.

(2)
Ce5Tc2Hg2 after structural relaxation. Source: Alexandria, functional PBE.

POSCAR file:
```
Ce5Tc2Hg2
1.0
7.956 -3.807 0.000
7.956 3.807 0.000
0.000 0.000 7.681
Ce Tc Hg
10 4 4
Cartesian
0.000 0.000 0.000
6.108 2.480 5.165
6.108 1.327 1.325
9.803 2.480 5.165
9.803 1.327 1.325
7.956 0.000 3.841
6.108 -1.327 6.357
6.108 -2.480 2.516
9.803 -1.327 6.357
9.803 -2.480 2.516
7.956 2.747 2.770
7.956 1.060 6.610
7.956 -1.060 1.071
7.956 -2.747 4.912
3.502 0.000 0.000
4.454 0.000 3.841
11.457 0.000 3.841
12.409 0.000 0.000
```

Results
Its space group is Cmce.

(3)
Ce6TcHg3 after structural relaxation. Source: Alexandria, functional PBE.

POSCAR file:
```
Ce6TcHg3
1.0
4.998 -3.385 0.000
4.998 3.385 0.000
-1.976 0.000 7.997
Ce Tc Hg
6 1 3
Cartesian
2.496 1.945 5.056
5.524 1.945 2.941
3.237 0.000 0.989
4.783 0.000 7.007
2.496 -1.945 5.056
5.524 -1.945 2.941
4.010 0.000 3.998
0.000 0.000 0.000
0.251 0.000 5.995
7.768 0.000 2.002
```

Results
Its space group is C2/m.

(4)
Ce4TcHg2 after structural relaxation. Source: Alexandria, functional PBE.

POSCAR file:
```
Ce4TcHg2
1.0
6.541 0.000 0.000
0.000 3.765 0.000
-1.944 0.000 8.148
Ce Tc Hg
4 1 2
Cartesian
-0.163 0.000 2.824
1.856 1.883 0.108
2.742 1.883 8.040
4.761 0.000 5.324
0.000 0.000 0.000
1.170 1.883 5.181
3.427 1.883 2.967
```

Results
Its space group is P2/m.

Computed ΔE_f (kJ/mol of formula units) in order:
-191; -155; -87; -3